Computed, not measured: an optimized crystal structure of BaBe2Mo2 at the PBE level of DFT.

Lattice parameters (Å, degrees): 7.9518 7.9518 2.8004 90.00 90.00 90.00
Closest atoms and distances in Å follow each position.
Element x y z (fractional)
Be 0.3373 0.8373 0.0000  6 Mo 2.63-2.89, 2 Be 2.80
Be 0.8373 0.6627 0.0000  6 Mo 2.63-2.89, 2 Be 2.80
Be 0.6627 0.1627 0.0000  6 Mo 2.63-2.89, 2 Be 2.80
Be 0.1627 0.3373 0.0000  6 Mo 2.63-2.89, 2 Be 2.80
Mo 0.1123 0.6123 0.5000  3 Mo 2.53-2.80, 4 Be 2.63
Mo 0.6123 0.8877 0.5000  3 Mo 2.53-2.80, 4 Be 2.63
Mo 0.8877 0.3877 0.5000  3 Mo 2.53-2.80, 4 Be 2.63
Mo 0.3877 0.1123 0.5000  3 Mo 2.53-2.80, 4 Be 2.63
Ba 0.0000 0.0000 0.0000  2 Ba 2.80, 4 Be 2.98
Ba 0.5000 0.5000 0.0000  2 Ba 2.80, 4 Be 2.98

Summary:
SG: No. 127
energy above the lowest structure with this stoichiometry: 114 kJ/mol of formula units
energy of formation: 0.744 eV/atom